[1]
DFT (GGA-PBE) results for a geometry-optimized KAg3Cl6 structure.

Density of states at the Fermi level (states/eV/atom): 0.3179
Formation energy from raw total energies (eV per atom): -0.71

abc: 8.2216 8.2216 4.3017
angles: 90.00 90.00 111.48
Sites, in units of the cell vectors:
K1 0.0000 0.0000 0.0000
Ag1 0.0000 0.5000 0.5000
Ag2 0.5000 0.0000 0.5000
Ag3 0.5000 0.5000 0.0000
Cl1 0.1752 0.8248 0.5000
Cl2 0.1859 0.4370 0.0000
Cl3 0.4370 0.1859 0.0000
Cl4 0.5630 0.8141 0.0000
Cl5 0.8141 0.5630 0.0000
Cl6 0.8248 0.1752 0.5000

***

[2]
DFT (GGA-PBE) results for a geometry-optimized K2AgCl structure.

Density of states at the Fermi level (states/eV/atom): 0.0122
Formation energy from raw total energies (eV per atom): -0.85
Energy above the lowest structure with this stoichiometry (eV/atom): 0.038

abc: 4.1107 4.3044 16.4850
angles: 90.00 90.00 90.00
Sites, in units of the cell vectors:
K1 0.0000 0.0000 0.0000
K2 0.0000 0.5000 0.2259
K3 0.5000 0.0000 0.7259
K4 0.5000 0.5000 0.5000
Ag1 0.0000 0.5000 0.8322
Ag2 0.5000 0.0000 0.3322
Cl1 0.0000 0.0000 0.5774
Cl2 0.5000 0.5000 0.0774

***

Question: Among the records above, which one has the lowest density of states at the Fermi level?
Answer: K2AgCl

***

Question: Among the records above, which one has the lowest density of states at the Fermi level?
Answer: K2AgCl